Entry 1:
VASP calculation (PBE-GGA) on crystalline Li2ZrFe at its relaxed geometry.

a = 3.242 Å, b = 4.867 Å, c = 8.117 Å
α = 90.00°, β = 90.00°, γ = 90.00°
Element x y z (fractional)
Li (0.000, 0.000, 0.000)
Li (0.000, 0.500, 0.260)
Li (0.500, 0.000, 0.760)
Li (0.500, 0.500, 0.500)
Zr (0.000, 0.000, 0.471)
Zr (0.500, 0.500, 0.971)
Fe (0.000, 0.500, 0.734)
Fe (0.500, 0.000, 0.234)

Results
energy above the most stable polymorph in this dataset: 170 meV per atom
spin magnetization: 1.21 μB/f.u.
total energy: -4.86 eV per atom
energy of formation: 0.35 eV per atom
space-group type: Imm2, No. 44

Entry 2:
VASP calculation (PBE-GGA) on crystalline LaScBi2 at its relaxed geometry.

a = 7.794 Å, b = 7.794 Å, c = 7.794 Å
α = 90.00°, β = 90.00°, γ = 90.00°
Element x y z (fractional)
La (0.000, 0.000, 0.000)
La (0.000, 0.500, 0.500)
La (0.500, 0.000, 0.500)
La (0.500, 0.500, 0.000)
Sc (0.000, 0.000, 0.500)
Sc (0.000, 0.500, 0.000)
Sc (0.500, 0.000, 0.000)
Sc (0.500, 0.500, 0.500)
Bi (0.250, 0.250, 0.250)
Bi (0.250, 0.250, 0.750)
Bi (0.250, 0.750, 0.250)
Bi (0.250, 0.750, 0.750)
Bi (0.750, 0.250, 0.250)
Bi (0.750, 0.250, 0.750)
Bi (0.750, 0.750, 0.250)
Bi (0.750, 0.750, 0.750)

Results
energy above the most stable polymorph in this dataset: 252 meV per atom
spin magnetization: 0.00 μB/f.u.
total energy: -5.34 eV per atom
energy of formation: -0.59 eV per atom
space-group type: Fm-3m, No. 225